Below is a relaxed structure of ZrAs, with properties calculated at the PBE level.

For the formation energy, the calculation gives -173 meV per atom. For the total energy, the calculation gives -6.77 eV/atom.

It has space group R-3m (No. 166, hexagonal axes), with a = 3.3252 Å, b = 3.3252 Å, c = 26.3346 Å, α = 90.00°, β = 90.00° and γ = 120.00°. The distinct sites, in fractional coordinates, are Zr at (0.0000, 0.0000, 0.1185) and As at (0.0000, 0.0000, 0.3733).

=====

Below is a relaxed structure of AcTl2CdBi2, with properties calculated at the PBE level.

For the formation energy, the calculation gives -301 meV per atom. For the total energy, the calculation gives -3.22 eV/atom.

It has space group Pmc2_1 (No. 26), with a = 4.889 Å, b = 10.487 Å, c = 8.057 Å, α = 90.00°, β = 90.00° and γ = 90.00°. The distinct sites, in fractional coordinates, are Ac at (0.000, 0.080, 0.000), Tl at (0.000, 0.339, 0.331), Tl at (0.500, 0.453, 0.044), Cd at (0.500, 0.180, 0.668), Bi at (0.000, 0.340, 0.743) and Bi at (0.500, 0.097, 0.297).

=====

Below is a relaxed structure of GdDyBeNi, with properties calculated at the PBE level.

For the formation energy, the calculation gives -114 meV per atom. For the total energy, the calculation gives -7.16 eV/atom.

It has space group F-43m (No. 216), with a = 6.819 Å, b = 6.819 Å, c = 6.819 Å, α = 90.00°, β = 90.00° and γ = 90.00°. The distinct sites, in fractional coordinates, are Gd at (0.000, 0.000, 0.000), Dy at (0.000, 0.000, 0.500), Be at (0.250, 0.250, 0.250) and Ni at (0.250, 0.250, 0.750).

=====

Below is a relaxed structure of Rb3Tl2Cl7, with properties calculated at the PBE level.

The value obtained for the uncorrected formation energy is -1.36 eV per atom. The excess energy over the best structure of this formula in the dataset is 0 meV/atom. For the total energy, the calculation gives -3.07 eV/atom.

It has space group I4/mmm (No. 139), with a = 5.550 Å, b = 5.550 Å, c = 27.687 Å, α = 90.00°, β = 90.00° and γ = 90.00°. The distinct sites, in fractional coordinates, are Rb at (0.000, 0.000, 0.000), Rb at (0.000, 0.000, 0.181), Tl at (0.000, 0.000, 0.398), Cl at (0.000, 0.000, 0.298), Cl at (0.000, 0.000, 0.500) and Cl at (0.000, 0.500, 0.099).

=====

Below is a relaxed structure of Cs3NaGe2I9, with properties calculated at the PBE level.

The value obtained for the uncorrected formation energy is -0.90 eV per atom. For the total energy, the calculation gives -2.70 eV/atom.

It has space group P-3m1 (No. 164), with a = 8.5289 Å, b = 8.5289 Å, c = 10.4628 Å, α = 90.00°, β = 90.00° and γ = 120.00°. The distinct sites, in fractional coordinates, are Cs at (0.0000, 0.0000, 0.0000), Cs at (0.3333, 0.6667, 0.6684), Na at (0.0000, 0.0000, 0.5000), Ge at (0.3333, 0.6667, 0.1672), I at (0.0000, 0.5000, 0.0000) and I at (0.1741, 0.3482, 0.3234).

=====

Below is a relaxed structure of MgNpO6, with properties calculated at the PBE level.

The value obtained for the uncorrected formation energy is -1.97 eV per atom. For the total energy, the calculation gives -7.51 eV/atom.

It has space group P-1 (No. 2), with a = 5.195 Å, b = 5.302 Å, c = 5.303 Å, α = 94.84°, β = 116.39° and γ = 109.91°. The distinct sites, in fractional coordinates, are Mg at (0.000, 0.000, 0.000), Np at (0.000, 0.500, 0.500), O at (0.001, 0.701, 0.224), O at (0.175, 0.293, 0.377) and O at (0.487, 0.087, 0.089).

=====

Below is a relaxed structure of La4PmRh2, with properties calculated at the PBE level.

For the formation energy, the calculation gives -410 meV per atom. For the total energy, the calculation gives -6.00 eV/atom.

It has space group P2_1/m (No. 11), with a = 8.161 Å, b = 6.662 Å, c = 8.327 Å, α = 90.00°, β = 115.38° and γ = 90.00°. The distinct sites, in fractional coordinates, are La at (0.126, 0.250, 0.485), La at (0.158, 0.750, 0.225), La at (0.283, 0.507, 0.914), Pm at (0.475, 0.250, 0.348), Rh at (0.092, 0.250, 0.148) and Rh at (0.491, 0.250, 0.718).

=====

Below is a relaxed structure of LaZn2Rh2, with properties calculated at the PBE level.

For the formation energy, the calculation gives -537 meV per atom. The excess energy over the best structure of this formula in the dataset is 3 meV/atom. For the total energy, the calculation gives -4.97 eV/atom.

It has space group I4/mmm (No. 139), with a = 4.215 Å, b = 4.215 Å, c = 21.416 Å, α = 90.00°, β = 90.00° and γ = 90.00°. The distinct sites, in fractional coordinates, are La at (0.000, 0.000, 0.132), Zn at (0.000, 0.000, 0.315), Zn at (0.000, 0.500, 0.000), Rh at (0.000, 0.000, 0.432) and Rh at (0.000, 0.500, 0.250).

=====

Below is a relaxed structure of VTcNiOs2, with properties calculated at the PBE level.

For the formation energy, the calculation gives 1954 meV per atom. For the total energy, the calculation gives -7.59 eV/atom.

It has space group P4/mmm (No. 123), with a = 4.622 Å, b = 4.622 Å, c = 4.401 Å, α = 90.00°, β = 90.00° and γ = 90.00°. The distinct sites, in fractional coordinates, are V at (0.000, 0.000, 0.000), Tc at (0.500, 0.500, 0.500), Ni at (0.500, 0.500, 0.000) and Os at (0.000, 0.500, 0.500).

=====

Below is a relaxed structure of TlSn2Te4, with properties calculated at the PBE level.

The value obtained for the uncorrected formation energy is -0.19 eV per atom. The excess energy over the best structure of this formula in the dataset is 0 meV/atom. For the total energy, the calculation gives -3.47 eV/atom.

It has space group R-3m (No. 166, hexagonal axes), with a = 4.3356 Å, b = 4.3356 Å, c = 42.2052 Å, α = 90.00°, β = 90.00° and γ = 120.00°. The distinct sites, in fractional coordinates, are Tl at (0.0000, 0.0000, 0.0000), Sn at (0.0000, 0.0000, 0.4295), Te at (0.0000, 0.0000, 0.1367) and Te at (0.0000, 0.0000, 0.2809).

=====

Below is a relaxed structure of MgTiPd2, with properties calculated at the PBE level.

For the formation energy, the calculation gives 57 meV per atom. For the total energy, the calculation gives -4.91 eV/atom.

It has space group Immm (No. 71), with a = 2.796 Å, b = 5.050 Å, c = 10.085 Å, α = 90.00°, β = 90.00° and γ = 90.00°. The distinct sites, in fractional coordinates, are Mg at (0.000, 0.000, 0.000), Ti at (0.000, 0.000, 0.500) and Pd at (0.000, 0.000, 0.263).

=====

Below is a relaxed structure of RbNaCo2, with properties calculated at the PBE level.

For the formation energy, the calculation gives 1099 meV per atom. For the total energy, the calculation gives -3.03 eV/atom.

It has space group I4_1/amd (No. 141, origin choice 2), with a = 4.668 Å, b = 4.668 Å, c = 20.943 Å, α = 90.00°, β = 90.00° and γ = 90.00°. The distinct sites, in fractional coordinates, are Rb at (0.000, 0.250, 0.375), Na at (0.000, 0.250, 0.875) and Co at (0.000, 0.000, 0.000).

=====

Below is a relaxed structure of KSr2I, with properties calculated at the PBE level.

The value obtained for the uncorrected formation energy is -0.47 eV per atom. The excess energy over the best structure of this formula in the dataset is 0 meV/atom. For the total energy, the calculation gives -1.98 eV/atom.

It has space group R-3m (No. 166, hexagonal axes), with a = 4.2869 Å, b = 4.2869 Å, c = 40.1962 Å, α = 90.00°, β = 90.00° and γ = 120.00°. The distinct sites, in fractional coordinates, are K at (0.0000, 0.0000, 0.0000), Sr at (0.0000, 0.0000, 0.1028) and I at (0.0000, 0.0000, 0.5000).

=====

Below is a relaxed structure of Co2SbSe, with properties calculated at the PBE level.

The value obtained for the uncorrected formation energy is 0.29 eV per atom. For the total energy, the calculation gives -5.16 eV/atom.

It has space group Fm-3m (No. 225), with a = 6.282 Å, b = 6.282 Å, c = 6.282 Å, α = 90.00°, β = 90.00° and γ = 90.00°. The distinct sites, in fractional coordinates, are Co at (0.250, 0.250, 0.250), Sb at (0.000, 0.000, 0.000) and Se at (0.000, 0.000, 0.500).

=====

Below is a relaxed structure of Pm4MgIn3, with properties calculated at the PBE level.

For the formation energy, the calculation gives -412 meV per atom. For the total energy, the calculation gives -4.01 eV/atom.

It has space group I4/mmm (No. 139), with a = 5.407 Å, b = 5.407 Å, c = 15.629 Å, α = 90.00°, β = 90.00° and γ = 90.00°. The distinct sites, in fractional coordinates, are Pm at (0.000, 0.500, 0.125), Mg at (0.000, 0.000, 0.000), In at (0.000, 0.000, 0.247) and In at (0.000, 0.000, 0.500).

=====

Below is a relaxed structure of Rb2TlAu, with properties calculated at the PBE level.

For the formation energy, the calculation gives 25 meV per atom. The excess energy over the best structure of this formula in the dataset is 197 meV/atom. For the total energy, the calculation gives -1.87 eV/atom.

It has space group Fm-3m (No. 225), with a = 8.632 Å, b = 8.632 Å, c = 8.632 Å, α = 90.00°, β = 90.00° and γ = 90.00°. The distinct sites, in fractional coordinates, are Rb at (0.250, 0.250, 0.250), Tl at (0.000, 0.000, 0.000) and Au at (0.000, 0.000, 0.500).

=====

Below is a relaxed structure of Nd3Dy6Y, with properties calculated at the PBE level.

For the formation energy, the calculation gives 151 meV per atom. The excess energy over the best structure of this formula in the dataset is 0 meV/atom. For the total energy, the calculation gives -4.69 eV/atom.

It has space group Cmc2_1 (No. 36), with a = 10.900 Å, b = 18.910 Å, c = 6.424 Å, α = 90.00°, β = 90.00° and γ = 90.00°. The distinct sites, in fractional coordinates, are Nd at (0.000, 0.113, 0.000), Nd at (0.179, 0.385, 0.606), Dy at (0.000, 0.231, 0.419), Dy at (0.000, 0.466, 0.223), Dy at (0.170, 0.046, 0.523), Dy at (0.234, 0.210, 0.706) and Y at (0.000, 0.312, 0.951).

=====

Below is a relaxed structure of Ac4La5Tl, with properties calculated at the PBE level.

For the formation energy, the calculation gives -71 meV per atom. For the total energy, the calculation gives -4.41 eV/atom.

It has space group P4/mmm (No. 123), with a = 3.888 Å, b = 3.888 Å, c = 25.630 Å, α = 90.00°, β = 90.00° and γ = 90.00°. The distinct sites, in fractional coordinates, are Ac at (0.000, 0.000, 0.105), Ac at (0.000, 0.000, 0.316), La at (0.500, 0.500, 0.000), La at (0.500, 0.500, 0.211), La at (0.500, 0.500, 0.419) and Tl at (0.000, 0.000, 0.500).

=====

Below is a relaxed structure of YZnPd2, with properties calculated at the PBE level.

For the formation energy, the calculation gives -356 meV per atom. For the total energy, the calculation gives -4.89 eV/atom.

It has space group I-42d (No. 122), with a = 4.225 Å, b = 4.225 Å, c = 17.961 Å, α = 90.00°, β = 90.00° and γ = 90.00°. The distinct sites, in fractional coordinates, are Y at (0.000, 0.000, 0.000), Zn at (0.000, 0.000, 0.500) and Pd at (0.211, 0.250, 0.625).

=====

Below is a relaxed structure of Pm4Cu2Si5, with properties calculated at the PBE level.

The value obtained for the uncorrected formation energy is -0.55 eV per atom. For the total energy, the calculation gives -5.49 eV/atom.

It has space group P2/m (No. 10), with a = 6.955 Å, b = 4.246 Å, c = 7.904 Å, α = 90.00°, β = 92.37° and γ = 90.00°. The distinct sites, in fractional coordinates, are Pm at (0.231, 0.000, 0.361), Pm at (0.267, 0.000, 0.867), Cu at (0.420, 0.500, 0.628), Si at (0.000, 0.500, 0.000), Si at (0.085, 0.500, 0.635) and Si at (0.394, 0.500, 0.117).

=====

Below is a relaxed structure of La2PrTh, with properties calculated at the PBE level.

For the formation energy, the calculation gives 114 meV per atom. The excess energy over the best structure of this formula in the dataset is 101 meV/atom. For the total energy, the calculation gives -5.40 eV/atom.

It has space group R-3m (No. 166, hexagonal axes), with a = 3.6021 Å, b = 3.6021 Å, c = 38.1702 Å, α = 90.00°, β = 90.00° and γ = 120.00°. The distinct sites, in fractional coordinates, are La at (0.0000, 0.0000, 0.0915), Pr at (0.0000, 0.0000, 0.0000) and Th at (0.0000, 0.0000, 0.5000).

=====

Below is a relaxed structure of SmHF4, with properties calculated at the PBE level.

For the total energy, the calculation gives -5.77 eV/atom.

It has space group I4_1md (No. 109), with a = 7.130 Å, b = 7.130 Å, c = 6.820 Å, α = 90.00°, β = 90.00° and γ = 90.00°. The distinct sites, in fractional coordinates, are Sm at (0.000, 0.000, 0.000), H at (0.000, 0.000, 0.622), F at (0.000, 0.187, 0.263) and F at (0.000, 0.341, 0.912).

=====

Below is a relaxed structure of Tb2MgC, with properties calculated at the PBE level.

For the formation energy, the calculation gives 51 meV per atom. For the total energy, the calculation gives -4.97 eV/atom.

It has space group P-6m2 (No. 187), with a = 3.5320 Å, b = 3.5320 Å, c = 8.7711 Å, α = 90.00°, β = 90.00° and γ = 120.00°. The distinct sites, in fractional coordinates, are Tb at (0.0000, 0.0000, 0.1646), Mg at (0.3333, 0.6667, 0.5000) and C at (0.6667, 0.3333, 0.0000).